Material: Na2ScSbTe4
Method: DFT, PBE
State: relaxed

abc: 7.5725 4.3355 7.9386
angles: 90.00 108.31 90.00
Space group P2/m (No. 10)
Symmetry-distinct sites (fractional):
Na1 0.0000 0.0000 0.0000 (multiplicity 1)
Na2 0.5000 0.5000 0.0000 (multiplicity 1)
Sc1 0.0000 0.5000 0.5000 (multiplicity 1)
Sb1 0.5000 0.0000 0.5000 (multiplicity 1)
Te1 0.2319 0.0000 0.7199 (multiplicity 2)
Te2 0.2466 0.5000 0.2743 (multiplicity 2)

Output
The calculation puts the uncorrected formation energy at -6.56 eV/f.u.

***

Material: SrC3
Method: DFT, PBE
State: relaxed

abc: 2.6769 4.4901 5.7593
angles: 90.00 90.00 90.00
Space group Pmmm (No. 47)
Symmetry-distinct sites (fractional):
Sr1 0.0000 0.0000 0.0000 (multiplicity 1)
C1 0.0000 0.0000 0.5000 (multiplicity 1)
C2 0.5000 0.0000 0.5000 (multiplicity 1)
C3 0.5000 0.5000 0.0000 (multiplicity 1)

Output
The value obtained for the energy above the lowest structure with this stoichiometry is 969 meV/atom. The value obtained for the formation energy is 6.2 eV/f.u.

***

Material: TaSi2Ru
Method: DFT, PBE
State: relaxed

abc: 6.2063 6.2063 6.2063
angles: 90.00 90.00 90.00
Space group F-43m (No. 216)
Symmetry-distinct sites (fractional):
Ta1 0.0000 0.0000 0.0000 (multiplicity 4)
Si1 0.0000 0.0000 0.5000 (multiplicity 4)
Si2 0.2500 0.2500 0.7500 (multiplicity 4)
Ru1 0.2500 0.2500 0.2500 (multiplicity 4)

Output
The calculation puts the uncorrected formation energy at -0.12 eV/f.u.

***

Material: CdHSeBr2
Method: DFT, PBE
State: relaxed

abc: 5.5470 5.5470 5.4854
angles: 90.00 90.00 90.00
Space group P4/mmm (No. 123)
Symmetry-distinct sites (fractional):
Cd1 0.0000 0.0000 0.0000 (multiplicity 1)
H1 0.5000 0.5000 0.5000 (multiplicity 1)
Se1 0.0000 0.0000 0.5000 (multiplicity 1)
Br1 0.0000 0.5000 0.0000 (multiplicity 2)

Output
The value obtained for the energy above the lowest structure with this stoichiometry is 197 meV/atom.

***

Material: ScCd2Ir
Method: DFT, PBE
State: relaxed

abc: 3.0405 3.0405 29.1498
angles: 90.00 90.00 120.00
Space group R-3m (No. 166, hexagonal axes)
Symmetry-distinct sites (fractional):
Sc1 0.0000 0.0000 0.0000 (multiplicity 3)
Cd1 0.0000 0.0000 0.2437 (multiplicity 6)
Ir1 0.0000 0.0000 0.5000 (multiplicity 3)

Output
The value obtained for the formation energy is 0.5 eV/f.u.

***

Material: YMg2Ru2
Method: DFT, PBE
State: relaxed

abc: 4.1931 4.1931 11.4412
angles: 90.00 90.00 90.00
Space group I4/mmm (No. 139)
Symmetry-distinct sites (fractional):
Y1 0.0000 0.0000 0.0000 (multiplicity 2)
Mg1 0.0000 0.5000 0.2500 (multiplicity 4)
Ru1 0.0000 0.0000 0.3974 (multiplicity 4)

Output
The value obtained for the energy above the lowest structure with this stoichiometry is 16 meV/atom. The value obtained for the formation energy is 0.3 eV/f.u.

***

Material: Ba8N4F3
Method: DFT, PBE
State: relaxed

abc: 11.4777 11.6752 8.0848
angles: 90.00 134.43 90.00
Space group C2/m (No. 12)
Symmetry-distinct sites (fractional):
Ba1 0.0000 0.2379 0.0000 (multiplicity 4)
Ba2 0.0000 0.2425 0.5000 (multiplicity 4)
Ba3 0.2149 0.0000 0.4636 (multiplicity 4)
Ba4 0.2459 0.0000 0.9958 (multiplicity 4)
N1 0.0000 0.0000 0.0000 (multiplicity 2)
N2 0.0000 0.0000 0.5000 (multiplicity 2)
N3 0.2500 0.2500 0.0000 (multiplicity 4)
F1 0.0000 0.5000 0.5000 (multiplicity 2)
F2 0.2500 0.2500 0.5000 (multiplicity 4)

Output
The calculation puts the uncorrected formation energy at -20.20 eV/f.u.

***

Material: La2BeNi12B3
Method: DFT, PBE
State: relaxed

abc: 7.2779 7.2779 15.9556
angles: 90.00 90.00 120.00
Space group R-3m (No. 166, hexagonal axes)
Symmetry-distinct sites (fractional):
La1 0.0000 0.0000 0.1182 (multiplicity 6)
Be1 0.0000 0.0000 0.5000 (multiplicity 3)
Ni1 0.0287 0.5144 0.1177 (multiplicity 18)
Ni2 0.0689 0.5344 0.3490 (multiplicity 18)
B1 0.0000 0.5000 0.0000 (multiplicity 9)

Output
The value obtained for the formation energy is -2.1 eV/f.u.